Record 1
KCeCuBr6 | GGA-PBE | optimized geometry

It has space group P-31c (No. 163), with a = 7.0810 Å, b = 7.0810 Å, c = 14.8971 Å, α = 90.00°, β = 90.00° and γ = 120.00°. Symmetry generates all atoms from K at (0.0000, 0.0000, 0.0000), Ce at (0.3333, 0.6667, 0.2500), Cu at (0.3333, 0.6667, 0.7500) and Br at (0.0152, 0.3729, 0.6429).

Its total energy is -3.67 eV/atom. The formation energy from raw total energies comes out at -1142 kJ/mol of formula units. As for the magnetization: 0.45 μB/f.u.


Record 2
Y2AgP | GGA-PBE | optimized geometry

It has space group P2/m (No. 10), with a = 3.592 Å, b = 3.604 Å, c = 6.923 Å, α = 90.00°, β = 93.31° and γ = 90.00°. Symmetry generates all atoms from Y at (0.033, 0.000, 0.270), Ag at (0.500, 0.500, 0.000) and P at (0.500, 0.500, 0.500).

Its formation energy is -0.7469 eV/atom. Its total energy is -6.04 eV/atom. As for the magnetization: 0.00 μB/f.u.


Record 3
TaCrRh | GGA-PBE | optimized geometry

It has space group F-43m (No. 216), with a = 6.030 Å, b = 6.030 Å, c = 6.030 Å, α = 90.00°, β = 90.00° and γ = 90.00°. Symmetry generates all atoms from Ta at (0.000, 0.000, 0.000), Cr at (0.000, 0.000, 0.500) and Rh at (0.250, 0.250, 0.250).

The calculation puts the excess energy over the best structure of this formula in the dataset at 1.38 eV/f.u. Its formation energy is 0.3869 eV/atom. Its total energy is -9.22 eV/atom. As for the magnetization: 2.85 μB/f.u.


Record 4
Nd2ScZn2Rh5 | GGA-PBE | optimized geometry

It has space group P4/mbm (No. 127), with a = 9.964 Å, b = 9.964 Å, c = 3.614 Å, α = 90.00°, β = 90.00° and γ = 90.00°. Symmetry generates all atoms from Nd at (0.174, 0.326, 0.000), Sc at (0.000, 0.000, 0.000), Zn at (0.123, 0.623, 0.000), Rh at (0.000, 0.500, 0.500) and Rh at (0.066, 0.795, 0.500).

Its formation energy is -0.6277 eV/atom. Its total energy is -6.14 eV/atom. As for the magnetization: 0.00 μB/f.u.